(1)
# Ac2TbMnS6 (PBE, optimized geometry)
data_Ac2TbMnS6
_cell_length_a 7.371
_cell_length_b 7.016
_cell_length_c 7.363
_cell_angle_alpha 57.29
_cell_angle_beta 54.95
_cell_angle_gamma 57.38
_symmetry_space_group_name_H-M 'P 1'
_symmetry_Int_Tables_number 1
_symmetry_space_group_name_Hall 'P 1'
loop_
_atom_site_label
_atom_site_fract_x
_atom_site_fract_y
_atom_site_fract_z
S1 0.534 0.178 0.327
S2 0.623 0.029 0.870
S3 0.147 0.014 0.346
S4 0.041 0.455 0.835
S5 0.020 0.616 0.223
S6 0.496 0.605 0.746
Ac1 0.596 0.575 0.297
Ac2 0.072 0.057 0.770
Tb1 0.816 0.816 0.552
Mn1 0.317 0.316 0.050
# E_form (uncorrected) = -16.87 eV/f.u.



(2)
# Ac2TbMnS5 (PBE, optimized geometry)
data_Ac2TbMnS5
_cell_length_a 4.090
_cell_length_b 8.742
_cell_length_c 12.381
_cell_angle_alpha 90.00
_cell_angle_beta 90.00
_cell_angle_gamma 103.53
_symmetry_space_group_name_H-M 'P 1'
_symmetry_Int_Tables_number 1
_symmetry_space_group_name_Hall 'P 1'
loop_
_atom_site_label
_atom_site_fract_x
_atom_site_fract_y
_atom_site_fract_z
S1 0.301 0.603 0.675
S2 0.653 0.306 0.515
S3 0.505 0.009 0.262
S4 0.688 0.375 0.866
S5 0.347 0.694 0.015
S6 0.495 0.991 0.762
S7 0.699 0.397 0.175
S8 0.312 0.625 0.366
S9 0.977 0.954 0.523
S10 0.023 0.046 0.023
Ac1 0.874 0.748 0.836
Ac2 0.120 0.239 0.693
Ac3 0.126 0.252 0.336
Ac4 0.880 0.761 0.193
Tb1 0.186 0.371 0.021
Tb2 0.814 0.629 0.521
Mn1 0.552 0.103 0.934
Mn2 0.448 0.897 0.434
# E_form (uncorrected) = -16.32 eV/f.u.